1.
Here is a relaxed structure of Sm2ScZn2Pd5 from Alexandria via LeMat-Bulk. Energies are from PBE-GGA.

The structure in POSCAR format:
```
Sm2ScZn2Pd5
1.0
9.879 0.000 0.000
0.000 9.879 0.000
0.000 0.000 3.830
Sm Sc Zn Pd
4 2 4 10
Direct
0.176 0.324 0.000
0.324 0.824 0.000
0.676 0.176 0.000
0.824 0.676 0.000
0.000 0.000 0.000
0.500 0.500 0.000
0.120 0.620 0.000
0.380 0.120 0.000
0.620 0.880 0.000
0.880 0.380 0.000
0.000 0.500 0.500
0.065 0.793 0.500
0.207 0.065 0.500
0.293 0.565 0.500
0.435 0.293 0.500
0.500 0.000 0.500
0.565 0.707 0.500
0.707 0.435 0.500
0.793 0.935 0.500
0.935 0.207 0.500
```

Output
For the total energy, the calculation gives -5.172 eV/atom. Its density of states at the Fermi level is 11.188 states/eV per cell. The formation energy comes out at -718 kJ/mol of formula units.

2.
Here is a relaxed structure of ScSn4Pd15 from Alexandria via LeMat-Bulk. Energies are from PBE-GGA.

The structure in POSCAR format:
```
ScSn4Pd15
1.0
4.037 0.000 0.000
0.000 4.037 0.000
0.000 0.000 20.143
Sc Sn Pd
1 4 15
Direct
0.000 0.000 0.000
0.000 0.000 0.199
0.000 0.000 0.400
0.000 0.000 0.600
0.000 0.000 0.801
0.000 0.500 0.099
0.000 0.500 0.299
0.000 0.500 0.500
0.000 0.500 0.701
0.000 0.500 0.901
0.500 0.000 0.099
0.500 0.000 0.299
0.500 0.000 0.500
0.500 0.000 0.701
0.500 0.000 0.901
0.500 0.500 0.000
0.500 0.500 0.200
0.500 0.500 0.400
0.500 0.500 0.600
0.500 0.500 0.800
```

Output
For the total energy, the calculation gives -5.588 eV/atom. Its density of states at the Fermi level is 5.617 states/eV per cell. The formation energy comes out at -1112 kJ/mol of formula units.

3.
Here is a relaxed structure of ScSnPd3 from Alexandria via LeMat-Bulk. Energies are from PBE-GGA.

The structure in POSCAR format:
```
ScSnPd3
1.0
2.406 -7.500 0.000
2.406 7.500 0.000
0.000 0.000 4.798
Sc Sn Pd
2 2 6
Direct
0.144 0.856 0.750
0.856 0.144 0.250
0.358 0.642 0.750
0.642 0.358 0.250
0.054 0.946 0.250
0.252 0.748 0.250
0.447 0.553 0.250
0.553 0.447 0.750
0.748 0.252 0.750
0.946 0.054 0.750
```

Output
For the total energy, the calculation gives -5.976 eV/atom. The value obtained for the distance to the lowest polymorph of the same formula is 0.0 kJ/mol of formula units. Its density of states at the Fermi level is 3.800 states/eV per cell. The formation energy comes out at -383 kJ/mol of formula units.

4.
Here is a relaxed structure of ScSnPd4 from Alexandria via LeMat-Bulk. Energies are from PBE-GGA.

The structure in POSCAR format:
```
ScSnPd4
1.0
2.404 -4.455 0.000
2.404 4.455 0.000
-1.072 0.000 4.721
Sc Sn Pd
1 1 4
Direct
0.000 0.000 0.000
0.500 0.500 0.500
0.163 0.837 0.500
0.337 0.663 0.000
0.663 0.337 0.000
0.837 0.163 0.500
```

Output
For the total energy, the calculation gives -5.884 eV/atom. Its density of states at the Fermi level is 2.520 states/eV per cell. The formation energy comes out at -405 kJ/mol of formula units.

5.
Here is a relaxed structure of Sc7Sn2Pd2 from Alexandria via LeMat-Bulk. Energies are from PBE-GGA.

The structure in POSCAR format:
```
Sc7Sn2Pd2
1.0
3.907 -5.164 0.000
3.907 5.164 0.000
0.000 0.000 6.638
Sc Sn Pd
7 2 2
Direct
0.000 0.000 0.000
0.000 0.500 0.254
0.000 0.500 0.746
0.500 0.000 0.254
0.500 0.000 0.746
0.500 0.500 0.242
0.500 0.500 0.758
0.185 0.185 0.500
0.815 0.815 0.500
0.284 0.716 0.000
0.716 0.284 0.000
```

Output
For the total energy, the calculation gives -6.075 eV/atom. Its density of states at the Fermi level is 10.887 states/eV per cell. The formation energy comes out at -397 kJ/mol of formula units.

6.
Here is a relaxed structure of ScSn2Pd from Alexandria via LeMat-Bulk. Energies are from PBE-GGA.

The structure in POSCAR format:
```
ScSn2Pd
1.0
4.445 0.000 0.000
0.000 4.445 0.000
0.000 0.000 4.155
Sc Sn Pd
1 2 1
Direct
0.000 0.000 0.000
0.000 0.500 0.500
0.500 0.000 0.500
0.500 0.500 0.000
```

Output
For the total energy, the calculation gives -5.437 eV/atom. Its density of states at the Fermi level is 2.824 states/eV per cell. The formation energy comes out at -214 kJ/mol of formula units.

7.
Here is a relaxed structure of Sc2SnPd9 from Alexandria via LeMat-Bulk. Energies are from PBE-GGA.

The structure in POSCAR format:
```
Sc2SnPd9
1.0
4.025 0.000 0.000
0.000 4.025 0.000
0.000 0.000 12.024
Sc Sn Pd
2 1 9
Direct
0.000 0.000 0.165
0.000 0.000 0.835
0.000 0.000 0.500
0.000 0.500 0.000
0.000 0.500 0.332
0.000 0.500 0.668
0.500 0.000 0.000
0.500 0.000 0.332
0.500 0.000 0.668
0.500 0.500 0.166
0.500 0.500 0.500
0.500 0.500 0.834
```

Output
For the total energy, the calculation gives -6.017 eV/atom. Its density of states at the Fermi level is 5.952 states/eV per cell. The formation energy comes out at -849 kJ/mol of formula units.

8.
Here is a relaxed structure of ScSnPd3 from Alexandria via LeMat-Bulk. Energies are from PBE-GGA.

The structure in POSCAR format:
```
ScSnPd3
1.0
4.892 0.000 0.000
0.000 4.892 0.000
0.000 0.000 4.892
Sc Sn Pd
1 1 3
Direct
0.000 0.000 0.000
0.500 0.500 0.500
0.000 0.500 0.500
0.500 0.000 0.500
0.500 0.500 0.000
```

Output
For the total energy, the calculation gives -5.044 eV/atom. The value obtained for the distance to the lowest polymorph of the same formula is 449.7 kJ/mol of formula units. Its density of states at the Fermi level is 4.555 states/eV per cell. The formation energy comes out at 67 kJ/mol of formula units.

9.
Here is a relaxed structure of Sc3Sn3Pd2 from Alexandria via LeMat-Bulk. Energies are from PBE-GGA.

The structure in POSCAR format:
```
Sc3Sn3Pd2
1.0
8.200 0.000 0.000
0.000 14.696 0.000
0.000 0.000 5.688
Sc Sn Pd
12 12 8
Direct
0.032 0.113 0.121
0.032 0.387 0.121
0.175 0.250 0.646
0.325 0.750 0.146
0.468 0.613 0.621
0.468 0.887 0.621
0.532 0.113 0.379
0.532 0.387 0.379
0.675 0.250 0.854
0.825 0.750 0.354
0.968 0.613 0.879
0.968 0.887 0.879
0.193 0.750 0.650
0.205 0.037 0.589
0.205 0.463 0.589
0.295 0.537 0.089
0.295 0.963 0.089
0.307 0.250 0.150
0.693 0.750 0.850
0.705 0.037 0.911
0.705 0.463 0.911
0.795 0.537 0.411
0.795 0.963 0.411
0.807 0.250 0.350
0.080 0.617 0.370
0.080 0.883 0.370
0.420 0.117 0.870
0.420 0.383 0.870
0.580 0.617 0.130
0.580 0.883 0.130
0.920 0.117 0.630
0.920 0.383 0.630
```

Output
For the total energy, the calculation gives -5.883 eV/atom. Its density of states at the Fermi level is 13.456 states/eV per cell. The formation energy comes out at -547 kJ/mol of formula units.

10.
Here is a relaxed structure of ScSn4Pd from Alexandria via LeMat-Bulk. Energies are from PBE-GGA.

The structure in POSCAR format:
```
ScSn4Pd
1.0
-3.280 3.280 6.573
3.280 -3.280 6.573
3.280 3.280 -6.573
Sc Sn Pd
2 8 2
Direct
0.250 0.250 0.000
0.750 0.750 0.000
0.049 0.549 0.823
0.226 0.049 0.500
0.274 0.774 0.823
0.451 0.274 0.500
0.549 0.726 0.500
0.726 0.226 0.177
0.774 0.951 0.500
0.951 0.451 0.177
0.000 0.000 0.000
0.500 0.500 0.000
```

Output
For the total energy, the calculation gives -4.951 eV/atom. Its density of states at the Fermi level is 7.432 states/eV per cell. The formation energy comes out at -209 kJ/mol of formula units.

11.
Here is a relaxed structure of Sc2Sn2Pd7 from Alexandria via LeMat-Bulk. Energies are from PBE-GGA.

The structure in POSCAR format:
```
Sc2Sn2Pd7
1.0
3.580 -4.399 0.000
3.580 4.399 0.000
0.000 0.000 6.962
Sc Sn Pd
2 2 7
Direct
0.200 0.800 0.000
0.800 0.200 0.000
0.308 0.308 0.500
0.692 0.692 0.500
0.000 0.000 0.282
0.000 0.000 0.718
0.000 0.500 0.279
0.000 0.500 0.721
0.500 0.000 0.279
0.500 0.000 0.721
0.500 0.500 0.000
```

Output
For the total energy, the calculation gives -5.559 eV/atom. Its density of states at the Fermi level is 2.960 states/eV per cell. The formation energy comes out at -399 kJ/mol of formula units.

12.
Here is a relaxed structure of Sc4SnPd2 from Alexandria via LeMat-Bulk. Energies are from PBE-GGA.

The structure in POSCAR format:
```
Sc4SnPd2
1.0
2.223 1.284 9.427
-2.223 1.284 9.427
0.000 -2.567 9.427
Sc Sn Pd
4 1 2
Direct
0.115 0.115 0.115
0.299 0.299 0.299
0.701 0.701 0.701
0.885 0.885 0.885
0.500 0.500 0.500
0.399 0.399 0.399
0.601 0.601 0.601
```

Output
For the total energy, the calculation gives -6.204 eV/atom. Its density of states at the Fermi level is 6.338 states/eV per cell. The formation energy comes out at -358 kJ/mol of formula units.

> What is the density of states at the Fermi level in the tenth record?

7.432 states/eV per cell

> What is the formula in the first record?

Sm2ScZn2Pd5

> Which value of formation energy does entry 2 give?

-1112 kJ/mol of formula units

Copy entry 9 word for word.
Here is a relaxed structure of Sc3Sn3Pd2 from Alexandria via LeMat-Bulk. Energies are from PBE-GGA.

The structure in POSCAR format:
```
Sc3Sn3Pd2
1.0
8.200 0.000 0.000
0.000 14.696 0.000
0.000 0.000 5.688
Sc Sn Pd
12 12 8
Direct
0.032 0.113 0.121
0.032 0.387 0.121
0.175 0.250 0.646
0.325 0.750 0.146
0.468 0.613 0.621
0.468 0.887 0.621
0.532 0.113 0.379
0.532 0.387 0.379
0.675 0.250 0.854
0.825 0.750 0.354
0.968 0.613 0.879
0.968 0.887 0.879
0.193 0.750 0.650
0.205 0.037 0.589
0.205 0.463 0.589
0.295 0.537 0.089
0.295 0.963 0.089
0.307 0.250 0.150
0.693 0.750 0.850
0.705 0.037 0.911
0.705 0.463 0.911
0.795 0.537 0.411
0.795 0.963 0.411
0.807 0.250 0.350
0.080 0.617 0.370
0.080 0.883 0.370
0.420 0.117 0.870
0.420 0.383 0.870
0.580 0.617 0.130
0.580 0.883 0.130
0.920 0.117 0.630
0.920 0.383 0.630
```

Output
For the total energy, the calculation gives -5.883 eV/atom. Its density of states at the Fermi level is 13.456 states/eV per cell. The formation energy comes out at -547 kJ/mol of formula units.